An optimized crystal structure of Sc4ReNi, computed with PBE.

Summary:
crystal system	cubic
ΔE_f	0.67	eV per atom

abc: 5.423 5.423 5.423
angles: 60.00 60.00 60.00
Sites, in units of the cell vectors:
Sc 0.375 0.375 0.876
Sc 0.375 0.375 0.375
Sc 0.375 0.876 0.375
Sc 0.876 0.375 0.375
Ni 0.750 0.750 0.750
Re 0.000 0.000 0.000